NaTaBr3 PBE optimized geometry; spin magnetization = 3.00 μB/cell; total DFT energy (no corrections) = -0.2329 Ry/atom; E above lowest polymorph = 843 meV per atom; volume = 139.7 Å³ per cell; formation energy without anion corrections = 0.469 eV per atom
1.0
5.1893 0.0000 0.0000
0.0000 5.1893 0.0000
0.0000 0.0000 5.1893
Na Ta Br
1 1 3
direct
0.0000 0.0000 0.0000 Na
0.5000 0.5000 0.5000 Ta
0.0000 0.0000 0.5000 Br
0.0000 0.5000 0.0000 Br
0.5000 0.0000 0.0000 Br